# 1
A relaxed OsPdPb2 crystal, computed with GGA-PBE.

a = 4.831 Å, b = 4.831 Å, c = 4.831 Å
α = 60.00°, β = 60.00°, γ = 60.00°
Sites, in units of the cell vectors:
Pb  0.250  0.250  0.250
Pb  0.750  0.750  0.750
Os  0.500  0.500  0.500
Pd  0.000  0.000  0.000

Properties
Space-group type: No. 225
Energy of formation from the pure elements: 548 meV per atom
Calculated density: 14.8 g/cm3
V: 79.71 Å³/f.u.
Electronic total energy: -5.412 eV per atom
Crystal system: cubic
ΔE to the lowest computed polymorph: 0.0 meV/atom

***

# 2
A relaxed Rb2PuHgF8 crystal, computed with GGA-PBE.

a = 6.131 Å, b = 6.131 Å, c = 7.094 Å
α = 115.60°, β = 115.60°, γ = 90.00°
Site moments in Bohr magnetons follow the coordinates.
Sites, in units of the cell vectors:
Rb  0.750  0.250  0.500  0.00
Rb  0.000  0.000  0.000  0.00
Pu  0.250  0.750  0.500  4.05
Hg  0.500  0.500  0.000  0.04
F  0.169  0.640  0.737  -0.02
F  0.569  0.640  0.737  -0.02
F  0.360  0.431  0.263  -0.02
F  0.902  0.831  0.263  -0.02
F  0.569  0.098  0.737  -0.02
F  0.360  0.831  0.263  -0.02
F  0.169  0.098  0.737  -0.02
F  0.902  0.431  0.263  -0.02

Properties
Space-group type: No. 119
Calculated density: 6.0 g/cm3
V: 211.06 Å³/f.u.
Electronic total energy: -5.349 eV per atom
Crystal system: tetragonal
Raw formation energy: -2.721 eV/atom